# La2CrB10 (PBE, optimized geometry)
data_La2CrB10
_chemical_formula_sum 'La4 Cr2 B20'
_symmetry_space_group_name_H-M 'P b a m'
_symmetry_Int_Tables_number 55
_cell_length_a 5.775
_cell_length_b 11.500
_cell_length_c 4.231
_cell_angle_alpha 90.00
_cell_angle_beta 90.00
_cell_angle_gamma 90.00
loop_
_symmetry_equiv_pos_as_xyz
'x,y,z'
'-x,-y,-z'
'-x,-y,z'
'x,y,-z'
'x+1/2,-y+1/2,-z'
'-x+1/2,y+1/2,z'
'-x+1/2,y+1/2,-z'
'x+1/2,-y+1/2,z'
loop_
_atom_site_label
_atom_site_type_symbol
_atom_site_fract_x
_atom_site_fract_y
_atom_site_fract_z
La1 La 0.204 0.137 0.000
Cr1 Cr 0.000 0.500 0.500
B1 B 0.052 0.309 0.500
B2 B 0.123 0.958 0.500
B3 B 0.141 0.803 0.500
B4 B 0.216 0.383 0.202
# Formation enthalpy at 0 K, eV per atom: -0.49
# Total energy, eV/f.u.: -92.59